Entry 1:
Below is TbPuGaRu after structural relaxation, with properties calculated at the GGA-PBE level.

a b c (Å): 6.9801 6.9801 6.9801
angles (deg): 90.00 90.00 90.00
Space group F-43m (No. 216)
Unique sites:
1 Tb 0.0000 0.0000 0.0000 [4 per cell]
2 Pu 0.0000 0.0000 0.5000 [4 per cell]
3 Ga 0.2500 0.2500 0.7500 [4 per cell]
4 Ru 0.2500 0.2500 0.2500 [4 per cell]

Summary:
Energy of formation from the pure elements, eV per formula unit: -1.03
Total moment, μB/cell: 19.91
DOS(E_F), states/eV per atom: 1.885

***

Entry 2:
Below is AlGeIr2 after structural relaxation, with properties calculated at the GGA-PBE level.

a b c (Å): 2.9089 2.9089 6.7870
angles (deg): 90.00 90.00 90.00
Space group P4/mmm (No. 123)
Unique sites:
1 Al 0.0000 0.0000 0.0000 [1 per cell]
2 Ge 0.0000 0.0000 0.5000 [1 per cell]
3 Ir 0.5000 0.5000 0.2478 [2 per cell]

Summary:
Energy of formation from the pure elements, eV per formula unit: -1.83
Total moment, μB/cell: 0.00
DOS(E_F), states/eV per atom: 0.214